The following is a GGA-PBE calculation of an optimized crystal structure of AlTlCr2, from Alexandria. Values from VASP.

## Properties
Uncorrected energy (eV/cell): -44.0
Energy of formation (eV/atom): 0.843

```
&SYSTEM
  ibrav = 0, nat = 8, ntyp = 3
/
ATOMIC_SPECIES
Cr 52.00 Cr.upf
Tl 204.38 Tl.upf
Al 26.98 Al.upf
ATOMIC_POSITIONS crystal
Cr 0.601 0.125 0.250
Cr 0.149 0.625 0.250
Cr 0.375 0.399 0.750
Cr 0.875 0.851 0.750
Tl 0.000 0.000 0.000
Tl 0.750 0.250 0.500
Al 0.500 0.500 0.000
Al 0.250 0.750 0.500
CELL_PARAMETERS angstrom
7.313 0.000 0.000
0.000 7.313 0.000
3.656 3.656 2.959
```

The following is a GGA-PBE calculation of an optimized crystal structure of AlTlCr2, from Alexandria. Values from VASP.

## Properties
Uncorrected energy (eV/cell): -23.6
Energy of formation (eV/atom): 0.435

```
&SYSTEM
  ibrav = 0, nat = 4, ntyp = 3
/
ATOMIC_SPECIES
Cr 52.00 Cr.upf
Tl 204.38 Tl.upf
Al 26.98 Al.upf
ATOMIC_POSITIONS crystal
Cr 0.000 0.000 0.000
Cr 0.250 0.750 0.500
Tl 0.500 0.500 0.000
Al 0.750 0.250 0.500
CELL_PARAMETERS angstrom
4.941 -0.018 0.000
1.522 4.701 0.000
-3.231 -2.341 2.914
```

The following is a GGA-PBE calculation of an optimized crystal structure of AlTlCr, from Alexandria. Values from VASP.

## Properties
Uncorrected energy (eV/cell): -14.5
Energy of formation (eV/atom): 0.405
Relative energy among the computed polymorphs (eV/f.u.): 0.11

```
&SYSTEM
  ibrav = 0, nat = 3, ntyp = 3
/
ATOMIC_SPECIES
Cr 52.00 Cr.upf
Tl 204.38 Tl.upf
Al 26.98 Al.upf
ATOMIC_POSITIONS crystal
Cr 0.647 0.647 0.353
Tl 0.324 0.324 0.676
Al 0.029 0.029 0.971
CELL_PARAMETERS angstrom
6.303 -0.197 0.206
5.630 2.840 0.210
0.673 0.145 3.034
```

The following is a GGA-PBE calculation of an optimized crystal structure of Al2TlCr2, from Alexandria. Values from VASP.

## Properties
Uncorrected energy (eV/cell): -55.2
Energy of formation (eV/atom): 0.301

```
&SYSTEM
  ibrav = 0, nat = 10, ntyp = 3
/
ATOMIC_SPECIES
Cr 52.00 Cr.upf
Tl 204.38 Tl.upf
Al 26.98 Al.upf
ATOMIC_POSITIONS crystal
Cr 0.171 0.671 0.500
Cr 0.671 0.829 0.500
Cr 0.829 0.329 0.500
Cr 0.329 0.171 0.500
Tl 0.000 0.000 0.000
Tl 0.500 0.500 0.000
Al 0.377 0.877 0.000
Al 0.877 0.623 0.000
Al 0.623 0.123 0.000
Al 0.123 0.377 0.000
CELL_PARAMETERS angstrom
7.544 0.000 0.000
0.000 7.544 0.000
0.000 0.000 2.990
```

The following is a GGA-PBE calculation of an optimized crystal structure of AlTl4Cr, from Alexandria. Values from VASP.

## Properties
Uncorrected energy (eV/cell): -18.9
Energy of formation (eV/atom): 0.657

```
&SYSTEM
  ibrav = 0, nat = 6, ntyp = 3
/
ATOMIC_SPECIES
Al 26.98 Al.upf
Tl 204.38 Tl.upf
Cr 52.00 Cr.upf
ATOMIC_POSITIONS crystal
Al 0.750 0.750 0.750
Tl 0.876 0.375 0.375
Tl 0.375 0.375 0.876
Tl 0.375 0.876 0.375
Tl 0.375 0.375 0.375
Cr 0.000 0.000 0.000
CELL_PARAMETERS angstrom
-3.964 -2.342 4.268
-4.652 3.564 2.252
-5.948 -1.233 -1.585
```

The following is a GGA-PBE calculation of an optimized crystal structure of AlTl2Cr2, from Alexandria. Values from VASP.

## Properties
Uncorrected energy (eV/cell): -49.9
Energy of formation (eV/atom): 0.555
Relative energy among the computed polymorphs (eV/f.u.): 0.00

```
&SYSTEM
  ibrav = 0, nat = 10, ntyp = 3
/
ATOMIC_SPECIES
Cr 52.00 Cr.upf
Tl 204.38 Tl.upf
Al 26.98 Al.upf
ATOMIC_POSITIONS crystal
Cr 0.382 0.882 0.000
Cr 0.882 0.618 0.000
Cr 0.618 0.118 0.000
Cr 0.118 0.382 0.000
Tl 0.180 0.680 0.500
Tl 0.680 0.820 0.500
Tl 0.820 0.320 0.500
Tl 0.320 0.180 0.500
Al 0.000 0.000 0.000
Al 0.500 0.500 0.000
CELL_PARAMETERS angstrom
-2.955 1.289 -5.593
3.370 -4.703 -2.865
-3.123 -2.844 0.995
```

Question: What is the energy of formation in the first record?
Answer: 0.843 eV/atom